Computed, not measured: a geometry-optimized GaCuMoO6 structure at the PBE with a Hubbard U level of DFT.

The structure in POSCAR format:
```
GaCuMoO6
1.0
4.6449 0.0000 0.0000
0.0000 4.6449 0.0000
0.0000 0.0000 9.0141
O Mo Cu Ga
12 2 2 2
Direct
0.1996 0.8004 0.1691 O
0.8004 0.1996 0.1691 O
0.3030 0.3030 0.3259 O
0.1923 0.8077 0.5045 O
0.6923 0.6923 0.0045 O
0.8077 0.1923 0.5045 O
0.8030 0.1970 0.8259 O
0.3004 0.3004 0.6691 O
0.1970 0.8030 0.8259 O
0.6970 0.6970 0.3259 O
0.3077 0.3077 0.0045 O
0.6996 0.6996 0.6691 O
0.0000 0.0000 0.6679 Mo
0.5000 0.5000 0.1679 Mo
0.5000 0.5000 0.5024 Cu
0.0000 0.0000 0.0024 Cu
0.0000 0.0000 0.3306 Ga
0.5000 0.5000 0.8306 Ga
```

The calculation puts the total energy at -109.5 eV for the cell shown. For the magnetic moment, the calculation gives 3.3 μB/cell. The space group is No. 102.